(1)
# Rb2LiHgCl5

A geometry-optimized Rb2LiHgCl5 structure (PBE-GGA, Alexandria).

Results
crystal system: orthorhombic
formation energy (no corrections): -1283 kJ/mol of formula units

```
Rb2LiHgCl5
1.0
2.1702 -9.3026 0.0000
2.1702 9.3026 0.0000
0.0000 0.0000 13.6128
Rb Li Hg Cl
4 2 2 10
direct
0.1154 0.8846 0.5000
0.1267 0.8733 0.1133
0.8733 0.1267 0.6133
0.8846 0.1154 0.0000
0.4270 0.5730 0.2343
0.5730 0.4270 0.7343
0.2106 0.7894 0.8238
0.7894 0.2106 0.3238
0.0727 0.9273 0.8207
0.2913 0.7087 0.4563
0.3043 0.6957 0.1779
0.3448 0.6552 0.8098
0.4969 0.5031 0.0949
0.5031 0.4969 0.5949
0.6552 0.3448 0.3098
0.6957 0.3043 0.6779
0.7087 0.2913 0.9563
0.9273 0.0727 0.3207
```

---

(2)
# Ag2Te2Pb

A geometry-optimized Ag2Te2Pb structure (PBE-GGA, Alexandria).

Results
crystal system: monoclinic
formation energy (no corrections): -71 kJ/mol of formula units
energy above the most stable polymorph in this dataset: 0.0 meV per atom

```
Ag2Te2Pb
1.0
4.5986 -6.9059 0.0000
4.5986 6.9059 0.0000
-4.2822 0.0000 4.9303
Ag Te Pb
4 4 2
direct
0.1327 0.2050 0.0627
0.2050 0.1327 0.5627
0.7950 0.8673 0.4373
0.8673 0.7950 0.9373
0.1385 0.8615 0.7500
0.3702 0.6298 0.2500
0.6298 0.3702 0.7500
0.8615 0.1385 0.2500
0.3859 0.6141 0.7500
0.6141 0.3859 0.2500
```

---

(3)
# Se2S6N

A geometry-optimized Se2S6N structure (PBE-GGA, Alexandria).

Results
crystal system: monoclinic
formation energy (no corrections): 277 kJ/mol of formula units

```
Se2S6N
1.0
4.0293 -11.7580 0.0000
4.0293 11.7580 0.0000
-0.2107 0.0000 6.7212
Se S N
4 12 2
direct
0.1297 0.6502 0.9334
0.3498 0.8703 0.5666
0.6502 0.1297 0.4334
0.8703 0.3498 0.0666
0.0848 0.1732 0.3005
0.1732 0.0848 0.8005
0.2191 0.3136 0.0700
0.3136 0.2191 0.5700
0.3152 0.6577 0.9624
0.3423 0.6848 0.5376
0.6577 0.3152 0.4624
0.6848 0.3423 0.0376
0.6864 0.7809 0.4300
0.7809 0.6864 0.9300
0.8268 0.9152 0.1995
0.9152 0.8268 0.6995
0.3591 0.6409 0.7500
0.6409 0.3591 0.2500
```

---

(4)
# Pm5Zn2Cu12

A geometry-optimized Pm5Zn2Cu12 structure (PBE-GGA, Alexandria).

Results
crystal system: monoclinic
DFT formation energy: -218 kJ/mol of formula units

```
Pm5Zn2Cu12
1.0
7.5824 -3.4119 0.0000
7.5824 3.4119 0.0000
-0.3155 0.0000 6.5170
Pm Zn Cu
5 2 12
direct
0.0000 0.0000 0.0000
0.2433 0.2433 0.9335
0.3051 0.3051 0.4531
0.6949 0.6949 0.5469
0.7567 0.7567 0.0665
0.2846 0.7154 0.5000
0.7154 0.2846 0.5000
0.0527 0.6772 0.7419
0.1069 0.1069 0.5887
0.2168 0.5907 0.1492
0.3228 0.9473 0.2581
0.4093 0.7832 0.8508
0.4488 0.4488 0.8250
0.5512 0.5512 0.1750
0.5907 0.2168 0.1492
0.6772 0.0527 0.7419
0.7832 0.4093 0.8508
0.8931 0.8931 0.4113
0.9473 0.3228 0.2581
```

---

(5)
# La2PmSi

A geometry-optimized La2PmSi structure (PBE-GGA, Alexandria).

Results
crystal system: tetragonal
formation energy (no corrections): -98 kJ/mol of formula units
energy above the most stable polymorph in this dataset: 129.9 meV per atom

```
La2PmSi
1.0
3.9734 0.0000 0.0000
0.0000 3.9734 0.0000
0.0000 0.0000 7.6321
La Pm Si
2 1 1
direct
0.0000 0.0000 0.1959
0.0000 0.0000 0.8041
0.5000 0.5000 0.5000
0.5000 0.5000 0.0000
```

---

(6)
# HgTeRh2

A geometry-optimized HgTeRh2 structure (PBE-GGA, Alexandria).

Results
crystal system: monoclinic
formation energy (no corrections): 19 kJ/mol of formula units
energy above the most stable polymorph in this dataset: 23.1 meV per atom

```
HgTeRh2
1.0
3.9727 -1.6802 0.0000
3.9727 1.6802 0.0000
-1.3635 0.0000 5.7390
Hg Te Rh
1 1 2
direct
0.0000 0.0000 0.0000
0.5000 0.5000 0.5000
0.2440 0.2440 0.7143
0.7560 0.7560 0.2857
```

---

(7)
# Be4GaB12

A geometry-optimized Be4GaB12 structure (PBE-GGA, Alexandria).

Results
crystal system: triclinic
DFT formation energy: 381 kJ/mol of formula units

```
Be4GaB12
1.0
5.1115 0.0000 0.0000
2.3152 5.2229 0.0000
1.0507 2.6409 5.2460
Be Ga B
4 1 12
direct
0.0000 0.0000 0.0000
0.0346 0.2980 0.1531
0.4239 0.4490 0.6684
0.4910 0.0347 0.6530
0.5158 0.9121 0.1564
0.0846 0.0574 0.6210
0.1000 0.7132 0.8724
0.1722 0.3563 0.5114
0.2263 0.6010 0.1930
0.3846 0.3981 0.0258
0.6118 0.4694 0.1608
0.7207 0.3879 0.9096
0.7516 0.2377 0.4625
0.7593 0.7035 0.8959
0.8309 0.3843 0.6266
0.8892 0.8737 0.5842
0.9420 0.6971 0.4069
```

---

(8)
# NaLiCO3

A geometry-optimized NaLiCO3 structure (PBE-GGA, Alexandria).

Results
crystal system: hexagonal
formation energy (no corrections): 230 kJ/mol of formula units
energy above the most stable polymorph in this dataset: 2215.9 meV per atom

```
NaLiCO3
1.0
7.9388 0.0000 0.0000
-3.9694 6.8752 0.0000
0.0000 0.0000 4.6140
Na Li C O
3 3 3 9
direct
0.0000 0.0000 0.0000
0.3333 0.6667 0.0000
0.6667 0.3333 0.5000
0.1605 0.3210 0.5000
0.1605 0.8395 0.5000
0.6790 0.8395 0.5000
0.0000 0.0000 0.5000
0.3333 0.6667 0.5000
0.6667 0.3333 0.0000
0.1533 0.3067 0.0000
0.1533 0.8467 0.0000
0.3117 0.1559 0.0000
0.5721 0.1442 0.0000
0.5721 0.4279 0.0000
0.6933 0.8467 0.0000
0.8441 0.1559 0.0000
0.8441 0.6883 0.0000
0.8558 0.4279 0.0000
```

---

(9)
# Pr3ZrTl3Te8

A geometry-optimized Pr3ZrTl3Te8 structure (PBE-GGA, Alexandria).

Results
crystal system: trigonal
formation energy (no corrections): -1469 kJ/mol of formula units

```
Pr3ZrTl3Te8
1.0
4.4867 2.5904 8.2714
-4.4867 2.5904 8.2714
0.0000 -5.1808 8.2714
Pr Zr Tl Te
3 1 3 8
direct
0.0000 0.5000 0.5000
0.5000 0.0000 0.5000
0.5000 0.5000 0.0000
0.0000 0.0000 0.0000
0.0000 0.0000 0.5000
0.0000 0.5000 0.0000
0.5000 0.0000 0.0000
0.2253 0.2253 0.7605
0.2253 0.7605 0.2253
0.2395 0.7747 0.7747
0.2585 0.2585 0.2585
0.7415 0.7415 0.7415
0.7605 0.2253 0.2253
0.7747 0.2395 0.7747
0.7747 0.7747 0.2395
```

---

(10)
# Pr3DySe4

A geometry-optimized Pr3DySe4 structure (PBE-GGA, Alexandria).

Results
crystal system: orthorhombic
formation energy (no corrections): -1402 kJ/mol of formula units
energy above the most stable polymorph in this dataset: 4.5 meV per atom

```
Pr3DySe4
1.0
4.2812 -5.9717 0.0000
4.2812 5.9717 0.0000
0.0000 0.0000 4.1579
Pr Dy Se
3 1 4
direct
0.0000 0.0000 0.0000
0.0000 0.5000 0.5000
0.5000 0.0000 0.5000
0.5000 0.5000 0.0000
0.2562 0.7438 0.0000
0.2622 0.2622 0.5000
0.7378 0.7378 0.5000
0.7438 0.2562 0.0000
```

---

(11)
# Ga3SiTc

A geometry-optimized Ga3SiTc structure (PBE-GGA, Alexandria).

Results
crystal system: cubic
formation energy (no corrections): 487 kJ/mol of formula units
energy above the most stable polymorph in this dataset: 420.0 meV per atom

```
Ga3SiTc
1.0
4.7329 0.0000 0.0000
0.0000 4.7329 0.0000
0.0000 0.0000 4.7329
Ga Si Tc
3 1 1
direct
0.0000 0.0000 0.5000
0.0000 0.5000 0.0000
0.5000 0.0000 0.0000
0.0000 0.0000 0.0000
0.5000 0.5000 0.5000
```

---

(12)
# CeErIrI

A geometry-optimized CeErIrI structure (PBE-GGA, Alexandria).

Results
crystal system: trigonal
formation energy (no corrections): -362 kJ/mol of formula units

```
CeErIrI
1.0
2.0419 1.1789 8.0160
-2.0419 1.1789 8.0160
0.0000 -2.3578 8.0160
Ce Er Ir I
1 1 1 1
direct
0.0000 0.0000 0.0000
0.7890 0.7890 0.7890
0.3946 0.3946 0.3946
0.2244 0.2244 0.2244
```

---

(13)
# Sr3AcPb3

A geometry-optimized Sr3AcPb3 structure (PBE-GGA, Alexandria).

Results
crystal system: orthorhombic
DFT formation energy: -288 kJ/mol of formula units

```
Sr3AcPb3
1.0
5.9109 -5.9348 0.0000
5.9109 5.9348 0.0000
0.0000 0.0000 7.8872
Sr Ac Pb
6 2 6
direct
0.2247 0.2247 0.5000
0.2413 0.7587 0.0000
0.2567 0.2567 0.0000
0.7433 0.7433 0.0000
0.7587 0.2413 0.0000
0.7753 0.7753 0.5000
0.2745 0.7255 0.5000
0.7255 0.2745 0.5000
0.0000 0.5000 0.2481
0.0000 0.5000 0.7519
0.5000 0.0000 0.2481
0.5000 0.0000 0.7519
0.5000 0.5000 0.2391
0.5000 0.5000 0.7609
```

---

(14)
# KTePt2

A geometry-optimized KTePt2 structure (PBE-GGA, Alexandria).

Results
crystal system: orthorhombic
formation energy (no corrections): 37 kJ/mol of formula units

```
KTePt2
1.0
3.1043 0.0000 0.0000
0.0000 3.7421 0.0000
0.0000 0.0000 8.0370
K Te Pt
1 1 2
direct
0.0000 0.0000 0.0000
0.0000 0.0000 0.5000
0.5000 0.5000 0.3122
0.5000 0.5000 0.6878
```

---

(15)
# BeHgW

A geometry-optimized BeHgW structure (PBE-GGA, Alexandria).

Results
crystal system: orthorhombic
DFT formation energy: 168 kJ/mol of formula units
energy above the most stable polymorph in this dataset: 0.0 meV per atom

```
BeHgW
1.0
0.0000 2.1781 6.2207
1.7216 0.0000 6.2207
1.7216 2.1781 0.0000
Be Hg W
1 1 1
direct
0.0000 0.0000 0.0000
0.6633 0.6633 0.3367
0.3607 0.3607 0.6393
```

---

(16)
# MgMnTc3

A geometry-optimized MgMnTc3 structure (PBE-GGA, Alexandria).

Results
crystal system: cubic
DFT formation energy: 476 kJ/mol of formula units
energy above the most stable polymorph in this dataset: 0.0 meV per atom

```
MgMnTc3
1.0
4.4469 0.0000 0.0000
0.0000 4.4469 0.0000
0.0000 0.0000 4.4469
Mg Mn Tc
1 1 3
direct
0.0000 0.0000 0.0000
0.5000 0.5000 0.5000
0.0000 0.5000 0.5000
0.5000 0.0000 0.5000
0.5000 0.5000 0.0000
```

---

(17)
# Sc2SbOs

A geometry-optimized Sc2SbOs structure (PBE-GGA, Alexandria).

Results
crystal system: orthorhombic
formation energy (no corrections): -157 kJ/mol of formula units

```
Sc2SbOs
1.0
-2.0567 2.2904 4.0634
2.0567 -2.2904 4.0634
2.0567 2.2904 -4.0634
Sc Sb Os
2 1 1
direct
0.2305 0.2305 0.0000
0.7695 0.7695 0.0000
0.5000 0.0000 0.5000
0.0000 0.5000 0.5000
```

---

(18)
# YLuAlTc

A geometry-optimized YLuAlTc structure (PBE-GGA, Alexandria).

Results
crystal system: cubic
DFT formation energy: -74 kJ/mol of formula units

```
YLuAlTc
1.0
0.0000 3.4848 3.4848
3.4848 0.0000 3.4848
3.4848 3.4848 0.0000
Y Lu Al Tc
1 1 1 1
direct
0.0000 0.0000 0.0000
0.5000 0.5000 0.5000
0.2500 0.2500 0.2500
0.7500 0.7500 0.7500
```

---

(19)
# YPt3

A geometry-optimized YPt3 structure (PBE-GGA, Alexandria).

Results
crystal system: tetragonal
DFT formation energy: -328 kJ/mol of formula units

```
YPt3
1.0
-2.0567 2.0567 4.2360
2.0567 -2.0567 4.2360
2.0567 2.0567 -4.2360
Y Pt
1 3
direct
0.0000 0.0000 0.0000
0.2500 0.7500 0.5000
0.5000 0.5000 0.0000
0.7500 0.2500 0.5000
```

---

(20)
# Pr2P4Pd3

A geometry-optimized Pr2P4Pd3 structure (PBE-GGA, Alexandria).

Results
crystal system: orthorhombic
DFT formation energy: -732 kJ/mol of formula units

```
Pr2P4Pd3
1.0
2.8533 -7.7568 0.0000
2.8533 7.7568 0.0000
0.0000 0.0000 7.3725
Pr P Pd
4 8 6
direct
0.1132 0.8868 0.9146
0.3868 0.6132 0.4146
0.6132 0.3868 0.5854
0.8868 0.1132 0.0854
0.1958 0.8042 0.5430
0.2004 0.2996 0.7500
0.2996 0.2004 0.2500
0.3042 0.6958 0.0430
0.6958 0.3042 0.9570
0.7004 0.7996 0.7500
0.7996 0.7004 0.2500
0.8042 0.1958 0.4570
0.0000 0.0000 0.5000
0.0389 0.4611 0.7500
0.4611 0.0389 0.2500
0.5000 0.5000 0.0000
0.5389 0.9611 0.7500
0.9611 0.5389 0.2500
```

---

(21)
# SrGePd4Au2

A geometry-optimized SrGePd4Au2 structure (PBE-GGA, Alexandria).

Results
crystal system: trigonal
DFT formation energy: -303 kJ/mol of formula units

```
SrGePd4Au2
1.0
2.2822 1.3176 8.4826
-2.2822 1.3176 8.4826
0.0000 -2.6352 8.4826
Sr Ge Pd Au
1 1 4 2
direct
0.0000 0.0000 0.0000
0.5000 0.5000 0.5000
0.1345 0.1345 0.1345
0.4059 0.4059 0.4059
0.5941 0.5941 0.5941
0.8655 0.8655 0.8655
0.2499 0.2499 0.2499
0.7501 0.7501 0.7501
```

---

(22)
# InAuI3

A geometry-optimized InAuI3 structure (PBE-GGA, Alexandria).

Results
crystal system: cubic
formation energy (no corrections): -70 kJ/mol of formula units
energy above the most stable polymorph in this dataset: 0.0 meV per atom

```
InAuI3
1.0
5.7246 0.0000 0.0000
0.0000 5.7246 0.0000
0.0000 0.0000 5.7246
In Au I
1 1 3
direct
0.0000 0.0000 0.0000
0.5000 0.5000 0.5000
0.0000 0.5000 0.5000
0.5000 0.0000 0.5000
0.5000 0.5000 0.0000
```

---

(23)
# MgAlBr2

A geometry-optimized MgAlBr2 structure (PBE-GGA, Alexandria).

Results
crystal system: orthorhombic
formation energy (no corrections): -177 kJ/mol of formula units
energy above the most stable polymorph in this dataset: 179.1 meV per atom

```
MgAlBr2
1.0
1.8397 -3.2232 0.0000
1.8397 3.2232 0.0000
0.0000 0.0000 10.2354
Mg Al Br
1 1 2
direct
0.0000 0.0000 0.0000
0.0000 0.0000 0.5000
0.5000 0.5000 0.1751
0.5000 0.5000 0.8249
```

---

no.,total DFT energy (no corrections) (eV/f.u.)
1,-26.68
2,-16.43
3,-37.19
4,-77.72
5,-21.04
6,-17.95
7,-94.12
8,-24.95
9,-70.34
10,-47.40
11,-19.82
12,-24.66
13,-23.26
14,-15.94
15,-15.25
16,-36.93
17,-29.64
18,-25.86
19,-27.98
20,-54.36
21,-36.76
22,-11.40
23,-10.52